Ba3HgPd3 | PBE-GGA | relaxed

Values from the calculation:
Crystal system   monoclinic
Calculated formation energy   -533 meV per atom
Total DFT energy (no corrections)   -50.76 eV per cell
Excess energy over the best structure of this formula in the dataset   0 meV/atom
Symmetry   No. 12

Geometry as POSCAR:
```
Ba3HgPd3
1.0
6.1279 -2.3167 0.0000
6.1279 2.3167 0.0000
-5.7484 0.0000 15.0303
Ba Hg Pd
6 2 6
Cartesian
-1.8531 0.0000 5.7545
-4.0630 0.0000 13.8983
1.6158 0.0000 3.4335
4.8916 0.0000 11.5968
10.5703 0.0000 1.1320
8.3605 0.0000 9.2758
-0.2850 0.0000 9.0057
6.7923 0.0000 6.0246
2.0183 0.0000 6.9038
-0.4699 0.0000 13.8723
1.2391 0.0000 11.5804
5.2682 0.0000 3.4499
6.9773 0.0000 1.1580
4.4891 0.0000 8.1265
```